Entry 1:
Material: LiCd4InAg
Method: DFT, PBE
State: relaxed

a b c (Å): 5.795 5.795 10.003
angles (deg): 90.00 90.00 99.14
Element x y z (fractional)
In: 0.035 0.965 0.250
In: 0.965 0.035 0.750
Cd: 0.818 0.182 0.485
Cd: 0.464 0.160 0.750
Cd: 0.536 0.840 0.250
Cd: 0.818 0.182 0.015
Cd: 0.840 0.536 0.750
Cd: 0.182 0.818 0.985
Cd: 0.160 0.464 0.250
Cd: 0.182 0.818 0.515
Ag: 0.500 0.500 0.500
Ag: 0.500 0.500 0.000
Li: 0.355 0.645 0.750
Li: 0.645 0.355 0.250

Properties
Its total DFT energy (no corrections) is -1.549 eV per atom. Its space group is No. 63. As for the volume: 165.85 Å³/f.u. The calculation puts the formation energy at 46.2 meV per atom.

---

Entry 2:
Material: LaTb3In4
Method: DFT, PBE
State: relaxed

a b c (Å): 5.556 7.358 10.901
angles (deg): 90.00 90.00 90.00
Element x y z (fractional)
In: 0.919 0.761 0.250
In: 0.500 0.761 0.500
In: 0.081 0.239 0.750
In: 0.919 0.239 0.250
In: 0.500 0.761 0.000
In: 0.081 0.761 0.750
In: 0.500 0.239 0.500
In: 0.500 0.239 0.000
Tb: 0.563 0.500 0.750
Tb: 0.575 0.000 0.750
Tb: 0.425 0.000 0.250
Tb: 0.437 0.500 0.250
Tb: 0.000 0.000 0.000
Tb: 0.000 0.000 0.500
La: 0.000 0.500 0.500
La: 0.000 0.500 0.000

Properties
Its total DFT energy (no corrections) is -4.200 eV per atom. Its space group is No. 51. As for the volume: 222.81 Å³/f.u. The calculation puts the formation energy at -478.8 meV per atom.

---

Entry 3:
Material: CsLiTc3
Method: DFT, PBE
State: relaxed

a b c (Å): 4.963 4.963 4.963
angles (deg): 90.00 90.00 90.00
Site moments in Bohr magnetons follow the coordinates.
Element x y z (fractional)
Cs: 0.000 0.000 0.000  0.00
Tc: 0.000 0.000 0.500  1.49
Tc: 0.000 0.500 0.000  1.43
Tc: 0.500 0.000 0.000  1.56
Li: 0.500 0.500 0.500  -0.01

Properties
Its total DFT energy (no corrections) is -3.863 eV per atom. Its space group is No. 221. As for the volume: 122.27 Å³/f.u. The calculation puts the formation energy at 2909.6 meV per atom. The value obtained for the energy above the lowest structure with this stoichiometry is 3.89 eV per formula unit.

---

Entry 4:
Material: Sc2WC2
Method: DFT, PBE
State: relaxed

a b c (Å): 6.108 6.108 3.371
angles (deg): 90.00 90.00 90.00
Element x y z (fractional)
C: 0.833 0.667 0.000
C: 0.167 0.333 0.000
C: 0.667 0.167 0.000
C: 0.333 0.833 0.000
W: 0.000 0.000 0.000
W: 0.500 0.500 0.000
Sc: 0.156 0.656 0.500
Sc: 0.344 0.156 0.500
Sc: 0.844 0.344 0.500
Sc: 0.656 0.844 0.500

Properties
Its total DFT energy (no corrections) is -8.971 eV per atom. Its space group is No. 127. As for the volume: 62.89 Å³/f.u. The calculation puts the formation energy at -157.9 meV per atom. The value obtained for the energy above the lowest structure with this stoichiometry is 1.61 eV per formula unit.

---

Entry 5:
Material: Tb4MgAu5
Method: DFT, PBE
State: relaxed

a b c (Å): 3.549 3.549 17.955
angles (deg): 90.00 90.00 90.00
Element x y z (fractional)
Au: 0.500 0.500 0.500
Au: 0.500 0.500 0.706
Au: 0.500 0.500 0.294
Au: 0.500 0.500 0.090
Au: 0.500 0.500 0.910
Tb: 0.000 0.000 0.603
Tb: 0.000 0.000 0.397
Tb: 0.000 0.000 0.189
Tb: 0.000 0.000 0.811
Mg: 0.000 0.000 0.000

Properties
Its total DFT energy (no corrections) is -4.447 eV per atom. Its space group is No. 123. As for the volume: 226.18 Å³/f.u. The calculation puts the formation energy at -796.7 meV per atom.

---

Entry 6:
Material: Pm3Nd5Dy4
Method: DFT, PBE
State: relaxed

a b c (Å): 7.246 11.472 13.084
angles (deg): 151.29 56.32 129.24
Element x y z (fractional)
Dy: 0.836 0.670 0.834
Dy: 0.917 0.832 0.667
Dy: 0.164 0.330 0.166
Dy: 0.083 0.168 0.333
Nd: 0.252 0.499 0.999
Nd: 0.664 0.333 0.168
Nd: 0.336 0.667 0.832
Nd: 0.500 0.000 0.500
Nd: 0.748 0.501 0.001
Pm: 0.587 0.169 0.334
Pm: 0.000 0.000 0.500
Pm: 0.413 0.831 0.666

Properties
Its total DFT energy (no corrections) is -4.694 eV per atom. Its space group is No. 2. As for the volume: 404.68 Å³/f.u. The calculation puts the formation energy at 13.8 meV per atom. The value obtained for the energy above the lowest structure with this stoichiometry is 0.00 eV per formula unit.